1.
Density functional theory data (PBE-GGA) for a relaxed structure of LaNd3Er3.

abc: 5.812 9.695 9.695
angles: 120.00 90.00 90.00
Sites, in units of the cell vectors:
Nd 0.750 0.905 0.379
Nd 0.750 0.474 0.095
Nd 0.750 0.621 0.526
Nd 0.250 0.379 0.474
Nd 0.250 0.095 0.621
Nd 0.250 0.526 0.905
Er 0.250 0.815 0.769
Er 0.250 0.231 0.045
Er 0.750 0.185 0.231
Er 0.750 0.769 0.955
Er 0.250 0.955 0.185
Er 0.750 0.045 0.815
La 0.250 0.667 0.333
La 0.750 0.333 0.667

Crystal system: hexagonal
DFT total energy: -65.44 eV per cell
Magnetic moment: 0.000 μB per atom
Energy above the lowest structure with this stoichiometry: 0 kJ/mol of formula units
DOS at the Fermi energy: 1.7143 states/eV/atom

***

2.
Density functional theory data (PBE-GGA) for a relaxed structure of La12Nd5Er2.

abc: 7.624 11.327 10.253
angles: 57.88 90.00 109.67
Sites, in units of the cell vectors:
La 0.910 0.319 0.530
La 0.006 0.012 0.202
La 0.490 0.979 0.688
La 0.402 0.335 0.165
La 0.591 0.681 0.470
La 0.933 0.335 0.165
La 0.510 0.021 0.312
La 0.409 0.319 0.530
La 0.994 0.988 0.798
La 0.067 0.665 0.835
La 0.090 0.681 0.470
La 0.598 0.665 0.835
Nd 0.173 0.346 0.818
Nd 0.827 0.654 0.182
Nd 0.675 0.351 0.845
Nd 0.325 0.649 0.155
Nd 0.000 0.000 0.500
Er 0.299 0.000 0.000
Er 0.701 0.000 0.000

Crystal system: monoclinic
DFT total energy: -89.28 eV per cell
Magnetic moment: 0.000 μB per atom
Energy above the lowest structure with this stoichiometry: 119 kJ/mol of formula units
DOS at the Fermi energy: 1.7176 states/eV/atom

***

3.
Density functional theory data (PBE-GGA) for a relaxed structure of La8NdEr2.

abc: 5.783 8.373 9.639
angles: 115.76 107.46 90.00
Sites, in units of the cell vectors:
La 0.837 0.837 0.674
La 0.637 0.837 0.275
La 0.163 0.163 0.326
La 0.000 0.705 0.000
La 0.638 0.438 0.275
La 0.362 0.562 0.725
La 0.363 0.163 0.725
La 0.000 0.295 0.000
Er 0.201 0.702 0.403
Er 0.799 0.298 0.597
Nd 0.500 0.000 0.000

Crystal system: orthorhombic
DFT total energy: -52.24 eV per cell
Magnetic moment: 0.000 μB per atom
Energy above the lowest structure with this stoichiometry: 0 kJ/mol of formula units
DOS at the Fermi energy: 1.5184 states/eV/atom

***

no.,energy of formation (meV/atom)
1,28
2,148
3,97